# 1
The following is a GGA-PBE calculation of a geometry-optimized Pr3Tm3ScS8 structure, from Alexandria via LeMat-Bulk.

density of states at the Fermi level: 0.474 states/eV/atom
raw total energy: -6.491 eV per atom
E_form (uncorrected): -2016.9 meV/atom

```
Pr3Tm3ScS8
1.0
-2.770 -3.659 6.320
-1.252 -2.990 -7.106
7.359 -0.230 3.093
S Tm Sc Pr
8 3 1 3
direct
0.745 0.985 0.724
0.240 0.985 0.724
0.240 0.479 0.724
0.742 0.484 0.726
0.255 0.015 0.276
0.760 0.015 0.276
0.760 0.521 0.276
0.258 0.516 0.274
0.500 0.000 0.500
0.500 0.500 0.500
0.000 0.500 0.500
0.000 0.000 0.500
0.500 0.500 0.000
0.000 0.000 0.000
0.000 0.500 0.000
```


# 2
The following is a GGA-PBE calculation of a geometry-optimized RbPrPuO6 structure, from Alexandria via LeMat-Bulk.

raw total energy: -7.910 eV per atom
E_form (uncorrected): -2373.8 meV/atom

```
RbPrPuO6
1.0
-4.618 3.782 1.120
-3.683 -1.018 4.722
3.500 3.258 3.432
O Rb Pu Pr
6 1 1 1
direct
0.363 0.589 0.313
0.589 0.048 0.313
0.589 0.363 0.687
0.048 0.363 0.313
0.048 0.589 0.687
0.363 0.048 0.687
0.000 0.000 0.000
0.333 0.333 0.500
0.667 0.667 0.500
```


# 3
The following is a GGA-PBE calculation of a geometry-optimized CeSmLuAg structure, from Alexandria via LeMat-Bulk.

density of states at the Fermi level: 2.208 states/eV/atom
raw total energy: -4.363 eV per atom

```
CeSmLuAg
1.0
-0.435 -0.915 -5.148
-3.304 -3.686 -1.739
-4.370 1.387 -2.551
Lu Sm Ce Ag
1 1 1 1
direct
0.000 0.000 0.000
0.500 0.500 0.500
0.750 0.750 0.750
0.250 0.250 0.250
```


# 4
The following is a GGA-PBE calculation of a geometry-optimized VBTe2I structure, from Alexandria via LeMat-Bulk.

energy above the most stable polymorph in this dataset: 0.000 eV/atom
density of states at the Fermi level: 0.582 states/eV/atom
raw total energy: -3.687 eV per atom
E_form (uncorrected): 1038.6 meV/atom

```
VBTe2I
1.0
5.142 0.000 0.000
0.000 5.142 0.000
0.000 0.000 5.812
I Te V B
1 2 1 1
direct
0.000 0.000 0.500
0.000 0.500 0.000
0.500 0.000 0.000
0.000 0.000 0.000
0.500 0.500 0.500
```


# 5
The following is a GGA-PBE calculation of a geometry-optimized Y3Ho3Pd2 structure, from Alexandria via LeMat-Bulk.

density of states at the Fermi level: 1.032 states/eV/atom
raw total energy: -5.823 eV per atom

```
Y3Ho3Pd2
1.0
3.847 0.000 0.000
-1.923 6.365 0.000
0.000 0.000 17.960
Ho Y Pd
6 6 4
direct
0.621 0.242 0.750
0.654 0.308 0.458
0.346 0.692 0.542
0.346 0.692 0.958
0.654 0.308 0.042
0.379 0.758 0.250
0.052 0.103 0.605
0.645 0.290 0.250
0.948 0.897 0.395
0.948 0.897 0.105
0.052 0.103 0.895
0.355 0.710 0.750
0.751 0.502 0.628
0.751 0.502 0.872
0.249 0.498 0.372
0.249 0.498 0.128
```


# 6
The following is a GGA-PBE calculation of a geometry-optimized Ba3Na2NpO6 structure, from Alexandria via LeMat-Bulk.

density of states at the Fermi level: 0.769 states/eV/atom
raw total energy: -6.566 eV per atom
E_form (uncorrected): -2307.8 meV/atom

```
Ba3Na2NpO6
1.0
6.468 -0.004 0.032
-3.237 5.600 0.032
-1.046 -1.812 6.007
Na O Np Ba
2 6 1 3
direct
0.332 0.668 0.000
0.668 0.332 0.000
0.207 0.207 0.765
0.642 0.926 0.786
0.926 0.642 0.786
0.793 0.793 0.235
0.358 0.074 0.214
0.074 0.358 0.214
0.000 0.000 0.000
0.175 0.825 0.500
0.500 0.500 0.500
0.825 0.175 0.500
```


# 7
The following is a GGA-PBE calculation of a geometry-optimized DyTl3Te2O9 structure, from Alexandria via LeMat-Bulk.

density of states at the Fermi level: 0.367 states/eV/atom
raw total energy: -5.435 eV per atom
E_form (uncorrected): -1260.7 meV/atom

```
DyTl3Te2O9
1.0
-4.957 -2.602 1.936
5.165 -2.887 0.281
1.166 2.735 6.663
Tl O Te Dy
3 9 2 1
direct
0.000 0.000 0.000
0.333 0.667 0.668
0.667 0.333 0.332
0.823 0.177 0.686
0.000 0.500 0.000
0.823 0.646 0.686
0.354 0.177 0.686
0.500 0.000 0.000
0.177 0.354 0.314
0.500 0.500 0.000
0.177 0.823 0.314
0.646 0.823 0.314
0.333 0.667 0.168
0.667 0.333 0.832
0.000 0.000 0.500
```


# 8
The following is a GGA-PBE calculation of a geometry-optimized AcTbZnCd structure, from Alexandria via LeMat-Bulk.

energy above the most stable polymorph in this dataset: 0.052 eV/atom
density of states at the Fermi level: 1.333 states/eV/atom
raw total energy: -2.963 eV per atom

```
AcTbZnCd
1.0
5.449 0.000 0.000
2.724 4.719 0.000
2.724 1.573 4.449
Ac Cd Zn Tb
1 1 1 1
direct
0.000 0.000 0.000
0.750 0.750 0.750
0.250 0.250 0.250
0.500 0.500 0.500
```


# 9
The following is a GGA-PBE calculation of a geometry-optimized CaEr2Hg5 structure, from Alexandria via LeMat-Bulk.

density of states at the Fermi level: 0.610 states/eV/atom
raw total energy: -1.989 eV per atom

```
CaEr2Hg5
1.0
-4.418 0.622 -2.703
-2.773 -1.125 4.273
3.493 7.365 1.021
Hg Er Ca
5 2 1
direct
0.500 0.500 0.000
0.629 0.129 0.259
0.871 0.371 0.741
0.129 0.629 0.259
0.371 0.871 0.741
0.735 0.735 0.471
0.265 0.265 0.529
0.000 0.000 0.000
```


# 10
The following is a GGA-PBE calculation of a geometry-optimized TbY2Ni structure, from Alexandria via LeMat-Bulk.

energy above the most stable polymorph in this dataset: 0.177 eV/atom
density of states at the Fermi level: 1.238 states/eV/atom
raw total energy: -5.897 eV per atom

```
TbY2Ni
1.0
-0.772 0.108 3.588
-2.651 -2.137 1.372
5.214 -7.548 3.227
Tb Y Ni
1 2 1
direct
0.500 0.500 0.500
0.273 0.273 0.182
0.727 0.727 0.818
0.000 0.000 0.000
```


# 11
The following is a GGA-PBE calculation of a geometry-optimized K3BeOs structure, from Alexandria via LeMat-Bulk.

energy above the most stable polymorph in this dataset: 0.000 eV/atom
density of states at the Fermi level: 1.101 states/eV/atom
raw total energy: -1.975 eV per atom

```
K3BeOs
1.0
-3.454 -4.833 -1.841
1.304 -2.956 5.314
-5.004 2.566 2.655
K Os Be
3 1 1
direct
0.500 0.000 0.000
0.000 0.500 0.000
0.000 0.000 0.500
0.000 0.000 0.000
0.500 0.500 0.500
```


# 12
The following is a GGA-PBE calculation of a geometry-optimized CaScSi2 structure, from Alexandria via LeMat-Bulk.

energy above the most stable polymorph in this dataset: 0.431 eV/atom
density of states at the Fermi level: 0.792 states/eV/atom
raw total energy: -4.815 eV per atom
E_form (uncorrected): -19.8 meV/atom

```
CaScSi2
1.0
3.926 0.000 0.000
0.000 3.926 0.000
0.000 0.000 5.861
Sc Si Ca
1 2 1
direct
0.500 0.500 0.827
0.000 0.000 0.948
0.500 0.500 0.270
0.000 0.000 0.454
```


# 13
The following is a GGA-PBE calculation of a geometry-optimized Sr2Sb2Ru structure, from Alexandria via LeMat-Bulk.

density of states at the Fermi level: 0.450 states/eV/atom
raw total energy: -4.652 eV per atom
E_form (uncorrected): -475.0 meV/atom

```
Sr2Sb2Ru
1.0
-2.368 -6.437 -2.255
5.821 -0.664 -4.219
2.556 -2.303 3.890
Sb Sr Ru
4 4 2
direct
0.353 0.853 0.000
0.647 0.147 0.000
0.853 0.647 0.000
0.147 0.353 0.000
0.171 0.671 0.500
0.671 0.829 0.500
0.329 0.171 0.500
0.829 0.329 0.500
0.000 0.000 0.000
0.500 0.500 0.000
```


# 14
The following is a GGA-PBE calculation of a geometry-optimized Zn2SnPt8 structure, from Alexandria via LeMat-Bulk.

density of states at the Fermi level: 0.806 states/eV/atom
raw total energy: -5.305 eV per atom

```
Zn2SnPt8
1.0
-3.121 2.590 0.251
-2.700 -3.671 4.316
5.616 3.243 3.487
Pt Sn Zn
8 1 2
direct
0.853 0.791 0.706
0.596 0.463 0.193
0.404 0.537 0.807
0.319 0.077 0.638
0.046 0.725 0.093
0.681 0.923 0.362
0.147 0.209 0.294
0.954 0.275 0.907
0.500 0.000 0.000
0.776 0.355 0.551
0.224 0.645 0.449
```


# 15
The following is a GGA-PBE calculation of a geometry-optimized La4HoTl structure, from Alexandria via LeMat-Bulk.

energy above the most stable polymorph in this dataset: 0.077 eV/atom
density of states at the Fermi level: 1.351 states/eV/atom
raw total energy: -4.481 eV per atom

```
La4HoTl
1.0
-0.372 -0.091 6.656
1.273 -8.549 -3.647
6.664 5.204 -1.095
Ho La Tl
2 8 2
direct
0.664 0.414 0.827
0.336 0.586 0.173
0.240 0.291 0.386
0.045 0.168 0.763
0.955 0.832 0.237
0.353 0.905 0.614
0.782 0.405 0.237
0.647 0.095 0.386
0.760 0.709 0.614
0.218 0.595 0.763
0.252 0.002 0.005
0.748 0.998 0.995
```


# 16
The following is a GGA-PBE calculation of a geometry-optimized KLi2Hg structure, from Alexandria via LeMat-Bulk.

density of states at the Fermi level: 0.475 states/eV/atom
raw total energy: -1.275 eV per atom

```
KLi2Hg
1.0
-1.148 -5.748 0.185
3.802 2.024 -4.805
3.354 -0.743 1.060
Li Hg K
2 1 1
direct
0.500 0.000 0.500
0.000 0.000 0.000
0.000 0.500 0.500
0.500 0.500 0.000
```


# 17
The following is a GGA-PBE calculation of a geometry-optimized Rb2Pa3TlSe8 structure, from Alexandria via LeMat-Bulk.

density of states at the Fermi level: 0.879 states/eV/atom
raw total energy: -5.592 eV per atom
E_form (uncorrected): -1258.8 meV/atom

```
Rb2Pa3TlSe8
1.0
8.540 0.000 0.000
4.270 7.396 0.000
4.270 2.465 8.382
Tl Pa Se Rb
1 3 8 2
direct
0.878 0.878 0.367
0.499 0.499 0.003
0.999 0.499 0.003
0.499 0.999 0.003
0.758 0.758 0.187
0.239 0.696 0.825
0.239 0.239 0.825
0.297 0.758 0.187
0.271 0.271 0.187
0.758 0.297 0.187
0.726 0.726 0.821
0.696 0.239 0.825
0.136 0.136 0.592
0.498 0.498 0.507
```


# 18
The following is a GGA-PBE calculation of a geometry-optimized CeTaO4 structure, from Alexandria via LeMat-Bulk.

density of states at the Fermi level: 1.034 states/eV/atom
raw total energy: -9.431 eV per atom
E_form (uncorrected): -3160.9 meV/atom

```
CeTaO4
1.0
5.498 0.000 0.000
0.000 7.740 -0.002
0.000 1.376 7.656
Ce O Ta
4 16 4
direct
0.777 0.650 0.104
0.277 0.350 0.396
0.723 0.650 0.604
0.223 0.350 0.896
0.496 0.668 0.871
0.408 0.058 0.794
0.653 0.170 0.443
0.153 0.830 0.057
0.487 0.615 0.330
0.004 0.668 0.371
0.847 0.170 0.943
0.092 0.058 0.294
0.347 0.830 0.557
0.013 0.615 0.830
0.504 0.332 0.129
0.996 0.332 0.629
0.908 0.942 0.706
0.592 0.942 0.206
0.513 0.385 0.670
0.987 0.385 0.170
0.732 0.165 0.695
0.768 0.165 0.195
0.232 0.835 0.805
0.268 0.835 0.305
```


# 19
The following is a GGA-PBE calculation of a geometry-optimized GaIrSe2Br structure, from Alexandria via LeMat-Bulk.

energy above the most stable polymorph in this dataset: 0.000 eV/atom
density of states at the Fermi level: 1.237 states/eV/atom
raw total energy: -3.869 eV per atom
E_form (uncorrected): 236.6 meV/atom

```
GaIrSe2Br
1.0
4.896 0.000 0.000
0.000 4.896 0.000
0.000 0.000 5.373
Ir Se Br Ga
1 2 1 1
direct
0.000 0.000 0.000
0.500 0.000 0.000
0.000 0.500 0.000
0.000 0.000 0.500
0.500 0.500 0.500
```


Computed size of the total moment, in the same sequence as the records: 0.0 0.0 0.0 1.5 0.0 3.0 0.0 0.3 0.0 0.0 1.1 0.0 0.0 0.0 0.0 0.0 2.0 4.0 0.0 μB per cell.